7
Lattice="6.353 -1.903 0.000 6.353 1.903 0.000 -3.810 0.000 6.690" Properties=species:S:1:pos:R:3 comment="Tl2CoCl2F2 PBE with a Hubbard U relaxed" final_energy_ev_per_cell=-27.44 m_tot_mub_per_fu=3.02 pbc="T T T"
Tl 1.463 0.000 1.448
Tl 7.434 0.000 5.242
Co -1.905 0.000 3.345
Cl 4.790 0.000 1.694
Cl 4.107 0.000 4.996
F 0.052 0.000 3.743
F 8.846 0.000 2.947